No. 1
VASP calculation (meta-GGA SCAN) on a PBEsol-optimized structure of CaMgNF2.

Output
The calculation puts the total DFT energy (no corrections) at -7.8211 eV/atom.

Unit cell a=4.138 b=4.138 c=4.741 alpha=90.00 beta=90.00 gamma=90.00
Sites, in units of the cell vectors:
N  0.000  0.000  0.500
F  0.000  0.500  0.000
Mg  0.500  0.500  0.500
F  0.500  0.000  0.000
Ca  0.000  0.000  0.000

No. 2
VASP calculation (meta-GGA SCAN) on a PBEsol-optimized structure of CaMgN2F.

Output
The calculation puts the total DFT energy (no corrections) at -7.3656 eV/atom.

Unit cell a=4.120 b=4.502 c=4.502 alpha=90.00 beta=90.00 gamma=90.00
Sites, in units of the cell vectors:
Mg  0.500  0.500  0.500
F  0.500  0.000  0.000
N  0.000  0.500  0.000
N  0.000  0.000  0.500
Ca  0.000  0.000  0.000

no.,formation energy (no corrections) (eV per atom)
1,-1.619
2,-0.014